VASP calculation (PBE) on an optimized crystal structure of PmCu.

Output
DFT formation energy: -194.1 meV/atom
E_tot: -4.617 eV per atom
V: 93.2 Å³/cell
space group: No. 11

a b c (Å): 3.901 4.534 5.654
angles (deg): 90.00 111.28 90.00
Atoms (fractional coordinates):
Cu  0.930  0.250  0.867
Cu  0.070  0.750  0.133
Pm  0.643  0.250  0.283
Pm  0.357  0.750  0.717

***

VASP calculation (PBE) on an optimized crystal structure of Zn2NiPt2.

Output
energy relative to the lowest polymorph listed for this composition: 22 meV/atom
DFT formation energy: -172.4 meV/atom
E_tot: -4.255 eV per atom
V: 145.0 Å³/cell
space group: No. 127

a b c (Å): 3.685 6.273 6.273
angles (deg): 90.00 90.00 90.00
Atoms (fractional coordinates):
Zn  0.000  0.360  0.860
Zn  0.000  0.860  0.640
Zn  0.000  0.640  0.140
Zn  0.000  0.140  0.360
Ni  0.000  0.000  0.000
Ni  0.000  0.500  0.500
Pt  0.500  0.165  0.665
Pt  0.500  0.665  0.835
Pt  0.500  0.835  0.335
Pt  0.500  0.335  0.165

***

Which value of DFT formation energy does entry 1 give?
-194.1 meV/atom

***

What is the formula in the second record?
Zn2NiPt2

***

Repeat the first record exactly.
VASP calculation (PBE) on an optimized crystal structure of PmCu.

Output
DFT formation energy: -194.1 meV/atom
E_tot: -4.617 eV per atom
V: 93.2 Å³/cell
space group: No. 11

a b c (Å): 3.901 4.534 5.654
angles (deg): 90.00 111.28 90.00
Atoms (fractional coordinates):
Cu  0.930  0.250  0.867
Cu  0.070  0.750  0.133
Pm  0.643  0.250  0.283
Pm  0.357  0.750  0.717

***

What is the E_tot in the second record?
-4.255 eV per atom